HfU4Ga12: optimized geometry, PBE-GGA.

Cell: 7.5257 7.5257 7.5257 Å, 109.47 109.47 109.47°
With the nearest neighbours (Å) after each atom.
Element x y z (fractional)
Hf (0.0000, 0.0000, 0.0000)  6 Ga 2.65
U (0.0000, 0.0000, 0.5000)  12 Ga 3.07-3.11
U (0.0000, 0.5000, 0.0000)  12 Ga 3.07-3.11
U (0.5000, 0.0000, 0.0000)  12 Ga 3.07-3.11
U (0.5000, 0.5000, 0.5000)  12 Ga 3.07-3.11
Ga (0.0000, 0.3052, 0.3052)  1 Hf 2.65, 4 Ga 2.75
Ga (0.0000, 0.6948, 0.6948)  1 Hf 2.65, 4 Ga 2.75
Ga (0.2500, 0.5000, 0.7500)  8 Ga 2.75-3.07, 4 U 3.07
Ga (0.2500, 0.7500, 0.5000)  8 Ga 2.75-3.07, 4 U 3.07
Ga (0.3052, 0.0000, 0.3052)  1 Hf 2.65, 4 Ga 2.75
Ga (0.3052, 0.3052, 0.0000)  1 Hf 2.65, 4 Ga 2.75
Ga (0.5000, 0.2500, 0.7500)  8 Ga 2.75-3.07, 4 U 3.07
Ga (0.5000, 0.7500, 0.2500)  8 Ga 2.75-3.07, 4 U 3.07
Ga (0.6948, 0.0000, 0.6948)  1 Hf 2.65, 4 Ga 2.75
Ga (0.6948, 0.6948, 0.0000)  1 Hf 2.65, 4 Ga 2.75
Ga (0.7500, 0.2500, 0.5000)  8 Ga 2.75-3.07, 4 U 3.07
Ga (0.7500, 0.5000, 0.2500)  8 Ga 2.75-3.07, 4 U 3.07

Summary:
ΔE_f	-0.216	eV per atom